[1]
# Ba5Ga2Ag, relaxed, DFT PBE
# Volume: 41.48 Å³ per atom
# Energy of formation from the pure elements: -0.2489 eV per atom
# Total energy: -2.564 eV per atom
data_Ba5Ga2Ag
_symmetry_space_group_name_H-M 'I 4/m c m'
_symmetry_Int_Tables_number 140
_symmetry_space_group_name_Hall '-I 4 2c'
_cell_length_a 8.6204
_cell_length_b 8.6204
_cell_length_c 17.8618
_cell_angle_alpha 90.00
_cell_angle_beta 90.00
_cell_angle_gamma 90.00
loop_
_atom_site_label
_atom_site_type_symbol
_atom_site_fract_x
_atom_site_fract_y
_atom_site_fract_z
_atom_site_occupancy
Ba1 Ba 0.0000 0.0000 0.0000 1
Ba2 Ba 0.1738 0.3262 0.1429 1
Ga1 Ga 0.1063 0.3937 0.5000 1
Ag1 Ag 0.0000 0.0000 0.2500 1

=====

[2]
# Mg4TlAu, relaxed, DFT PBE
# Volume: 24.56 Å³ per atom
# Energy of formation from the pure elements: -0.1972 eV per atom
# Total energy: -2.201 eV per atom
# ΔE to the lowest computed polymorph: 0.00 eV per formula unit
data_Mg4TlAu
_symmetry_space_group_name_H-M 'P 4/m m m'
_symmetry_Int_Tables_number 123
_symmetry_space_group_name_Hall '-P 4 2'
_cell_length_a 4.6377
_cell_length_b 4.6377
_cell_length_c 6.8515
_cell_angle_alpha 90.00
_cell_angle_beta 90.00
_cell_angle_gamma 90.00
loop_
_atom_site_label
_atom_site_type_symbol
_atom_site_fract_x
_atom_site_fract_y
_atom_site_fract_z
_atom_site_occupancy
Mg1 Mg 0.0000 0.5000 0.2259 1
Tl1 Tl 0.0000 0.0000 0.5000 1
Au1 Au 0.5000 0.5000 0.0000 1

=====

[3]
# Pm6Cd5, relaxed, DFT PBE
# Volume: 29.72 Å³ per atom
# Energy of formation from the pure elements: -0.2198 eV per atom
# Total energy: -3.227 eV per atom
data_Pm6Cd5
_symmetry_space_group_name_H-M 'C m m m'
_symmetry_Int_Tables_number 65
_symmetry_space_group_name_Hall '-C 2 2'
_cell_length_a 5.3134
_cell_length_b 15.8653
_cell_length_c 7.7567
_cell_angle_alpha 90.00
_cell_angle_beta 90.00
_cell_angle_gamma 90.00
loop_
_atom_site_label
_atom_site_type_symbol
_atom_site_fract_x
_atom_site_fract_y
_atom_site_fract_z
_atom_site_occupancy
Pm1 Pm 0.0000 0.0000 0.2432 1
Pm2 Pm 0.0000 0.3388 0.2460 1
Cd1 Cd 0.0000 0.1694 0.5000 1
Cd2 Cd 0.0000 0.1730 0.0000 1
Cd3 Cd 0.0000 0.5000 0.5000 1

=====

[4]
# La2Tb6Sm3, relaxed, DFT PBE
# Volume: 35.25 Å³ per atom
# Energy of formation from the pure elements: 0.1788 eV per atom
# Total energy: -4.530 eV per atom
# ΔE to the lowest computed polymorph: 0.00 eV per formula unit
data_La2Tb6Sm3
_symmetry_space_group_name_H-M 'C 1 2/m 1'
_symmetry_Int_Tables_number 12
_cell_length_a 6.1879
_cell_length_b 10.7388
_cell_length_c 11.8552
_cell_angle_alpha 90.00
_cell_angle_beta 100.11
_cell_angle_gamma 90.00
loop_
_symmetry_equiv_pos_as_xyz
'x,y,z'
'-x,-y,-z'
'-x,y,-z'
'x,-y,z'
'x+1/2,y+1/2,z'
'-x+1/2,-y+1/2,-z'
'-x+1/2,y+1/2,-z'
'x+1/2,-y+1/2,z'
loop_
_atom_site_label
_atom_site_type_symbol
_atom_site_fract_x
_atom_site_fract_y
_atom_site_fract_z
_atom_site_occupancy
La1 La 0.0000 0.1671 0.0000 1
Tb1 Tb 0.2490 0.1666 0.7472 1
Tb2 Tb 0.2489 0.5000 0.7468 1
Sm1 Sm 0.0000 0.0000 0.5000 1
Sm2 Sm 0.0000 0.3356 0.5000 1

=====

[5]
# Rb2AgRuBr6, relaxed, DFT PBE
# Volume: 31.14 Å³ per atom
# Total energy: -3.240 eV per atom
# ΔE to the lowest computed polymorph: 0.20 eV per formula unit
data_Rb2AgRuBr6
_symmetry_space_group_name_H-M 'F m -3 m'
_symmetry_Int_Tables_number 225
_symmetry_space_group_name_Hall '-F 4 2 3'
_cell_length_a 10.7599
_cell_length_b 10.7599
_cell_length_c 10.7599
_cell_angle_alpha 90.00
_cell_angle_beta 90.00
_cell_angle_gamma 90.00
loop_
_atom_site_label
_atom_site_type_symbol
_atom_site_fract_x
_atom_site_fract_y
_atom_site_fract_z
_atom_site_occupancy
Rb1 Rb 0.2500 0.2500 0.2500 1
Ag1 Ag 0.0000 0.0000 0.0000 1
Ru1 Ru 0.0000 0.0000 0.5000 1
Br1 Br 0.0000 0.0000 0.2632 1

=====

[6]
# LaNi2Ru, relaxed, DFT PBE
# Volume: 16.24 Å³ per atom
# Energy of formation from the pure elements: 0.6106 eV per atom
# Total energy: -5.831 eV per atom
data_LaNi2Ru
_symmetry_space_group_name_H-M 'R -3 m'
_symmetry_Int_Tables_number 166
_symmetry_space_group_name_Hall '-R 3 2"'
_cell_length_a 2.8758
_cell_length_b 2.8758
_cell_length_c 27.2066
_cell_angle_alpha 90.00
_cell_angle_beta 90.00
_cell_angle_gamma 120.00
loop_
_atom_site_label
_atom_site_type_symbol
_atom_site_fract_x
_atom_site_fract_y
_atom_site_fract_z
_atom_site_occupancy
La1 La 0.0000 0.0000 0.0000 1
Ni1 Ni 0.0000 0.0000 0.2381 1
Ru1 Ru 0.0000 0.0000 0.5000 1

=====

[7]
# TbSm6Sc8, relaxed, DFT PBE
# Volume: 28.86 Å³ per atom
# Energy of formation from the pure elements: 0.1900 eV per atom
# Total energy: -5.383 eV per atom
data_TbSm6Sc8
_symmetry_space_group_name_H-M 'R -3'
_symmetry_Int_Tables_number 148
_symmetry_space_group_name_Hall '-R 3'
_cell_length_a 9.2680
_cell_length_b 9.2680
_cell_length_c 17.4603
_cell_angle_alpha 90.00
_cell_angle_beta 90.00
_cell_angle_gamma 120.00
loop_
_atom_site_label
_atom_site_type_symbol
_atom_site_fract_x
_atom_site_fract_y
_atom_site_fract_z
_atom_site_occupancy
Tb1 Tb 0.0000 0.0000 0.0000 1
Sm1 Sm 0.0227 0.7857 0.4064 1
Sc1 Sc 0.0000 0.0000 0.2280 1
Sc2 Sc 0.0520 0.7727 0.9001 1

=====

[8]
# Ca2MgSe, relaxed, DFT PBE
# Volume: 31.02 Å³ per atom
# Total energy: -2.958 eV per atom
# ΔE to the lowest computed polymorph: 0.80 eV per formula unit
data_Ca2MgSe
_symmetry_space_group_name_H-M 'I m m m'
_symmetry_Int_Tables_number 71
_symmetry_space_group_name_Hall '-I 2 2'
_cell_length_a 4.0278
_cell_length_b 6.0069
_cell_length_c 10.2582
_cell_angle_alpha 90.00
_cell_angle_beta 90.00
_cell_angle_gamma 90.00
loop_
_atom_site_label
_atom_site_type_symbol
_atom_site_fract_x
_atom_site_fract_y
_atom_site_fract_z
_atom_site_occupancy
Ca1 Ca 0.0000 0.0000 0.1993 1
Mg1 Mg 0.0000 0.5000 0.0000 1
Se1 Se 0.0000 0.5000 0.5000 1

=====

[9]
# CaRe2Mo, relaxed, DFT PBE
# Volume: 18.43 Å³ per atom
# Energy of formation from the pure elements: 0.4876 eV per atom
# Total energy: -8.945 eV per atom
# ΔE to the lowest computed polymorph: 0.09 eV per formula unit
data_CaRe2Mo
_symmetry_space_group_name_H-M 'P 4/m m m'
_symmetry_Int_Tables_number 123
_symmetry_space_group_name_Hall '-P 4 2'
_cell_length_a 3.1989
_cell_length_b 3.1989
_cell_length_c 7.2039
_cell_angle_alpha 90.00
_cell_angle_beta 90.00
_cell_angle_gamma 90.00
loop_
_atom_site_label
_atom_site_type_symbol
_atom_site_fract_x
_atom_site_fract_y
_atom_site_fract_z
_atom_site_occupancy
Ca1 Ca 0.0000 0.0000 0.0000 1
Re1 Re 0.5000 0.5000 0.3047 1
Mo1 Mo 0.0000 0.0000 0.5000 1

=====

[10]
# UAsS, relaxed, DFT PBE
# Volume: 22.61 Å³ per atom
# Total energy: -7.424 eV per atom
data_UAsS
_symmetry_space_group_name_H-M 'P m m m'
_symmetry_Int_Tables_number 47
_cell_length_a 3.5500
_cell_length_b 4.2331
_cell_length_c 4.5134
_cell_angle_alpha 90.00
_cell_angle_beta 90.00
_cell_angle_gamma 90.00
loop_
_symmetry_equiv_pos_as_xyz
'x,y,z'
'-x,-y,-z'
'-x,-y,z'
'x,y,-z'
'x,-y,-z'
'-x,y,z'
'-x,y,-z'
'x,-y,z'
loop_
_atom_site_label
_atom_site_type_symbol
_atom_site_fract_x
_atom_site_fract_y
_atom_site_fract_z
_atom_site_occupancy
U1 U 0.0000 0.0000 0.0000 1
As1 As 0.5000 0.0000 0.5000 1
S1 S 0.5000 0.5000 0.0000 1

=====

[11]
# LaNd2Sm6, relaxed, DFT PBE
# Volume: 34.40 Å³ per atom
# Energy of formation from the pure elements: 0.0536 eV per atom
# Total energy: -4.700 eV per atom
# ΔE to the lowest computed polymorph: 0.00 eV per formula unit
data_LaNd2Sm6
_symmetry_space_group_name_H-M 'C m m m'
_symmetry_Int_Tables_number 65
_symmetry_space_group_name_Hall '-C 2 2'
_cell_length_a 10.0031
_cell_length_b 17.3954
_cell_length_c 3.5589
_cell_angle_alpha 90.00
_cell_angle_beta 90.00
_cell_angle_gamma 90.00
loop_
_atom_site_label
_atom_site_type_symbol
_atom_site_fract_x
_atom_site_fract_y
_atom_site_fract_z
_atom_site_occupancy
La1 La 0.0000 0.0000 0.0000 1
Nd1 Nd 0.0000 0.3333 0.0000 1
Sm1 Sm 0.1661 0.5000 0.5000 1
Sm2 Sm 0.1675 0.1672 0.5000 1

=====

[12]
# DyNpBi2, relaxed, DFT PBE
# Volume: 32.12 Å³ per atom
# Energy of formation from the pure elements: -0.3656 eV per atom
# Total energy: -6.692 eV per atom
# ΔE to the lowest computed polymorph: 0.00 eV per formula unit
data_DyNpBi2
_symmetry_space_group_name_H-M 'R -3 m'
_symmetry_Int_Tables_number 166
_symmetry_space_group_name_Hall '-R 3 2"'
_cell_length_a 4.4809
_cell_length_b 4.4809
_cell_length_c 22.1659
_cell_angle_alpha 90.00
_cell_angle_beta 90.00
_cell_angle_gamma 120.00
loop_
_atom_site_label
_atom_site_type_symbol
_atom_site_fract_x
_atom_site_fract_y
_atom_site_fract_z
_atom_site_occupancy
Dy1 Dy 0.0000 0.0000 0.0000 1
Np1 Np 0.0000 0.0000 0.5000 1
Bi1 Bi 0.0000 0.0000 0.2508 1